A plane-wave DFT calculation with PBE-GGA was carried out for a geometry-optimized AlTlPb3 structure.

Computed properties:
calculated total energy = -2.654 eV/atom
total magnetic moment = 0.0 μB per cell
density of states at the Fermi level = 3.638 states/eV per cell
E_form = 793.1 meV/atom

Unit cell a=5.8857 b=5.8857 c=5.8857 alpha=90.00 beta=90.00 gamma=90.00
Sites, in units of the cell vectors:
Pb1 0.0000 0.5000 0.0000
Pb2 0.5000 0.0000 0.0000
Pb3 0.0000 0.0000 0.5000
Tl1 0.0000 0.0000 0.0000
Al1 0.5000 0.5000 0.5000


A plane-wave DFT calculation with PBE-GGA was carried out for a geometry-optimized NaGdCuAg structure.

Computed properties:
calculated total energy = -5.580 eV/atom
total magnetic moment = 7.3 μB per cell
density of states at the Fermi level = 3.985 states/eV per cell
E_form = 6.6 meV/atom

Unit cell a=5.0001 b=5.0001 c=5.0001 alpha=60.00 beta=60.00 gamma=60.00
Sites, in units of the cell vectors:
Gd1 0.0000 0.0000 0.0000
Ag1 0.7500 0.7500 0.7500
Cu1 0.2500 0.2500 0.2500
Na1 0.5000 0.5000 0.5000


A plane-wave DFT calculation with PBE-GGA was carried out for a geometry-optimized Tb5HoPt4 structure.

Computed properties:
calculated total energy = -6.176 eV/atom
total magnetic moment = 0.0 μB per cell
density of states at the Fermi level = 6.191 states/eV per cell
E_form = -986.4 meV/atom

Unit cell a=4.1236 b=7.6953 c=9.6513 alpha=113.51 beta=102.34 gamma=90.00
Sites, in units of the cell vectors:
Pt1 0.0000 0.7492 0.9999
Pt2 0.7089 0.2089 0.4179
Pt3 0.2911 0.7911 0.5821
Pt4 0.0000 0.2508 0.0001
Tb1 0.8365 0.5947 0.6729
Tb2 0.8366 0.0787 0.6731
Tb3 0.1634 0.9213 0.3269
Tb4 0.1635 0.4053 0.3271
Tb5 0.5000 0.5000 0.0000
Ho1 0.5000 0.0000 0.0000


A plane-wave DFT calculation with PBE-GGA was carried out for a geometry-optimized RbCd3Rh structure.

Computed properties:
calculated total energy = -2.321 eV/atom
total magnetic moment = 0.0 μB per cell
density of states at the Fermi level = 3.151 states/eV per cell
E_form = -107.9 meV/atom

Unit cell a=7.4323 b=7.4624 c=7.4624 alpha=60.45 beta=60.13 gamma=60.13
Sites, in units of the cell vectors:
Rb1 0.2500 0.6743 0.8257
Rb2 0.7500 0.3257 0.1743
Cd1 0.7825 0.2175 0.7175
Cd2 0.2175 0.7825 0.2825
Cd3 0.2500 0.1886 0.3114
Cd4 0.2825 0.2175 0.7175
Cd5 0.7175 0.7825 0.2825
Cd6 0.7500 0.8114 0.6886
Rh1 0.5000 0.0000 0.0000
Rh2 0.0000 0.5000 0.5000


A plane-wave DFT calculation with PBE-GGA was carried out for a geometry-optimized LaCe2Th7 structure.

Computed properties:
calculated total energy = -6.785 eV/atom
total magnetic moment = 0.0 μB per cell
density of states at the Fermi level = 20.397 states/eV per cell
E_form = 88.3 meV/atom

Unit cell a=5.3810 b=8.8079 c=9.5460 alpha=117.53 beta=106.35 gamma=52.30
Sites, in units of the cell vectors:
La1 0.0000 0.0000 0.0000
Ce1 0.4995 0.6987 0.3967
Ce2 0.5005 0.3013 0.6033
Th1 0.9999 0.7965 0.5933
Th2 0.0001 0.2035 0.4067
Th3 0.2473 0.3551 0.2054
Th4 0.7523 0.8504 0.2054
Th5 0.7527 0.6449 0.7946
Th6 0.5000 0.5000 0.0000
Th7 0.2477 0.1496 0.7946


A plane-wave DFT calculation with PBE-GGA was carried out for a geometry-optimized LiY5S8 structure.

Computed properties:
calculated total energy = -6.783 eV/atom
total magnetic moment = 0.0 μB per cell
ΔE_f (raw) = -1.979 eV per atom
density of states at the Fermi level = 0.000 states/eV per cell

Unit cell a=7.2061 b=7.2061 c=7.2061 alpha=109.69 beta=109.03 gamma=109.69
Sites, in units of the cell vectors:
S1 0.6362 0.3873 0.8808
S2 0.4935 0.6127 0.2489
S3 0.9852 0.1136 0.7320
S4 0.6184 0.8864 0.8716
S5 0.1192 0.7554 0.5065
S6 0.2680 0.2532 0.3816
S7 0.7511 0.2446 0.3638
S8 0.1284 0.7468 0.0148
Y1 0.5000 0.0000 0.5000
Y2 0.8749 0.8849 0.2522
Y3 0.7478 0.6227 0.6326
Y4 0.0100 0.3773 0.1251
Y5 0.3674 0.1151 0.9900
Li1 0.2500 0.5000 0.7500


A plane-wave DFT calculation with PBE-GGA was carried out for a geometry-optimized ErTm3Co8 structure.

Computed properties:
calculated total energy = -6.494 eV/atom
total magnetic moment = 7.5 μB per cell
density of states at the Fermi level = 14.844 states/eV per cell
E_form = -258.7 meV/atom

Unit cell a=5.0232 b=5.0232 c=8.7111 alpha=73.24 beta=73.24 gamma=60.00
Sites, in units of the cell vectors:
Tm1 0.0000 0.0000 0.9999
Tm2 0.3750 0.3750 0.8749
Tm3 0.4999 0.4999 0.5002
Co1 0.9376 0.4369 0.6880
Co2 0.1875 0.1875 0.4376
Co3 0.4369 0.9376 0.6880
Co4 0.9380 0.4375 0.1870
Co5 0.9376 0.9376 0.6880
Co6 0.6875 0.6875 0.9375
Co7 0.4375 0.4375 0.1870
Co8 0.4375 0.9380 0.1870
Er1 0.8750 0.8750 0.3750


A plane-wave DFT calculation with PBE-GGA was carried out for a geometry-optimized Tb2Dy6Ho3 structure.

Computed properties:
calculated total energy = -4.314 eV/atom
total magnetic moment = 0.0 μB per cell
density of states at the Fermi level = 16.024 states/eV per cell
E_form = 287.0 meV/atom

Unit cell a=4.6923 b=4.6923 c=16.8319 alpha=98.01 beta=98.01 gamma=90.00
Sites, in units of the cell vectors:
Dy1 0.3034 0.3034 0.6067
Dy2 0.3787 0.8787 0.7574
Dy3 0.1213 0.6213 0.2426
Dy4 0.6213 0.1213 0.2426
Dy5 0.6966 0.6966 0.3933
Dy6 0.8787 0.3787 0.7574
Tb1 0.5458 0.5458 0.0917
Tb2 0.4542 0.4542 0.9083
Ho1 0.0000 0.0000 0.0000
Ho2 0.2001 0.2001 0.4002
Ho3 0.7999 0.7999 0.5998


A plane-wave DFT calculation with PBE-GGA was carried out for a geometry-optimized K2Be structure.

Computed properties:
calculated total energy = -1.327 eV/atom
total magnetic moment = 0.0 μB per cell
density of states at the Fermi level = 5.446 states/eV per cell
E_form = 647.0 meV/atom

Unit cell a=7.3368 b=7.3368 c=7.3368 alpha=95.94 beta=95.94 gamma=142.46
Sites, in units of the cell vectors:
K1 0.6605 0.8395 0.5000
K2 0.8395 0.3395 0.1790
K3 0.1605 0.6605 0.8210
K4 0.3395 0.1605 0.5000
Be1 0.2500 0.2500 0.0000
Be2 0.7500 0.7500 0.0000


A plane-wave DFT calculation with PBE-GGA was carried out for a geometry-optimized Cd3Tc structure.

Computed properties:
calculated total energy = -2.939 eV/atom
total magnetic moment = 0.5 μB per cell
density of states at the Fermi level = 5.802 states/eV per cell
E_form = 338.4 meV/atom

Unit cell a=9.3072 b=9.3072 c=9.3072 alpha=154.32 beta=154.32 gamma=36.64
Sites, in units of the cell vectors:
Tc1 0.6170 0.6170 0.0000
Tc2 0.3830 0.3830 0.0000
Cd1 0.5000 0.0000 0.5000
Cd2 0.2500 0.7500 0.5000
Cd3 0.8723 0.8723 0.0000
Cd4 0.7500 0.2500 0.5000
Cd5 0.1277 0.1277 0.0000
Cd6 0.0000 0.5000 0.5000


A plane-wave DFT calculation with PBE-GGA was carried out for a geometry-optimized Zr structure.

Computed properties:
calculated total energy = -8.374 eV/atom
total magnetic moment = 0.0 μB per cell
density of states at the Fermi level = 5.904 states/eV per cell
E_form = 173.8 meV/atom

Unit cell a=6.0795 b=6.0795 c=3.2189 alpha=90.00 beta=90.00 gamma=127.44
Sites, in units of the cell vectors:
Zr1 0.1347 0.8653 0.9997
Zr2 0.6347 0.3653 0.5003
Zr3 0.8653 0.1347 0.0003
Zr4 0.3653 0.6347 0.4997


A plane-wave DFT calculation with PBE-GGA was carried out for a geometry-optimized VSbPt3 structure.

Computed properties:
calculated total energy = -5.354 eV/atom
total magnetic moment = 3.2 μB per cell
ΔE_f (raw) = 0.918 eV per atom
density of states at the Fermi level = 9.259 states/eV per cell

Unit cell a=4.9114 b=4.9114 c=4.9114 alpha=90.00 beta=90.00 gamma=90.00
Sites, in units of the cell vectors:
V1 0.5000 0.5000 0.5000
Pt1 0.5000 0.0000 0.0000
Pt2 0.0000 0.5000 0.0000
Pt3 0.0000 0.0000 0.5000
Sb1 0.0000 0.0000 0.0000


A plane-wave DFT calculation with PBE-GGA was carried out for a geometry-optimized Ga2SiAsF structure.

Computed properties:
calculated total energy = -3.528 eV/atom
total magnetic moment = 0.0 μB per cell
ΔE_f (raw) = 0.071 eV per atom
density of states at the Fermi level = 1.603 states/eV per cell

Unit cell a=4.5692 b=4.6523 c=4.5692 alpha=90.00 beta=90.00 gamma=90.00
Sites, in units of the cell vectors:
As1 0.0000 0.5000 0.0000
Ga1 0.0000 0.0000 0.5000
Ga2 0.5000 0.0000 0.0000
F1 0.0000 0.0000 0.0000
Si1 0.5000 0.5000 0.5000


A plane-wave DFT calculation with PBE-GGA was carried out for a geometry-optimized ScTe2I4 structure.

Computed properties:
calculated total energy = -2.808 eV/atom
total magnetic moment = 1.0 μB per cell
ΔE_f (raw) = -0.120 eV per atom
density of states at the Fermi level = 6.660 states/eV per cell

Unit cell a=5.6912 b=5.6912 c=9.5750 alpha=72.71 beta=72.71 gamma=90.00
Sites, in units of the cell vectors:
I1 0.0000 0.5000 0.0000
I2 0.5000 0.0000 0.0000
I3 0.1759 0.1759 0.6482
I4 0.8241 0.8241 0.3518
Te1 0.3350 0.3350 0.3301
Te2 0.6650 0.6650 0.6699
Sc1 0.0000 0.0000 0.0000


A plane-wave DFT calculation with PBE-GGA was carried out for a geometry-optimized Tl12Zn3Au5 structure.

Computed properties:
calculated total energy = -2.264 eV/atom
total magnetic moment = 0.0 μB per cell
density of states at the Fermi level = 43.691 states/eV per cell
E_form = 166.4 meV/atom

Unit cell a=14.6936 b=14.6936 c=14.6936 alpha=109.47 beta=109.47 gamma=109.47
Sites, in units of the cell vectors:
Au1 0.0000 0.5000 0.0000
Au2 0.0000 0.0000 0.0000
Au3 0.8750 0.2500 0.6250
Au4 0.5000 0.5000 0.5000
Au5 0.8750 0.6250 0.7500
Au6 0.0000 0.5000 0.5000
Au7 0.3750 0.2500 0.1250
Au8 0.5000 0.5000 0.0000
Au9 0.1250 0.7500 0.3750
Au10 0.7500 0.6250 0.3750
Au11 0.6250 0.8750 0.2500
Au12 0.3750 0.1250 0.7500
Au13 0.5000 0.0000 0.5000
Au14 0.6250 0.7500 0.8750
Au15 0.7500 0.1250 0.8750
Au16 0.1250 0.3750 0.2500
Au17 0.0000 0.0000 0.5000
Au18 0.2500 0.8750 0.1250
Au19 0.5000 0.0000 0.0000
Au20 0.2500 0.3750 0.6250
Tl1 0.3265 0.7694 0.3927
Tl2 0.6232 0.0571 0.2306
Tl3 0.9339 0.8265 0.5571
Tl4 0.1735 0.1073 0.7306
Tl5 0.4339 0.0571 0.3265
Tl6 0.4339 0.3768 0.6073
Tl7 0.8927 0.8265 0.7694
Tl8 0.2694 0.3927 0.8265
Tl9 0.8265 0.8927 0.2694
Tl10 0.8768 0.2694 0.4429
Tl11 0.2694 0.8768 0.9429
Tl12 0.5571 0.3265 0.9339
Tl13 0.9339 0.1073 0.8768
Tl14 0.8768 0.6073 0.9339
Tl15 0.1735 0.0661 0.9429
Tl16 0.7306 0.6073 0.1735
Tl17 0.7694 0.4429 0.3768
Tl18 0.0661 0.1735 0.4429
Tl19 0.4429 0.7694 0.8768
Tl20 0.7694 0.3265 0.8927
Tl21 0.0571 0.6232 0.7306
Tl22 0.0661 0.8927 0.1232
Tl23 0.3927 0.2694 0.3265
Tl24 0.1232 0.7306 0.5571
Tl25 0.4429 0.6735 0.0661
Tl26 0.5571 0.2306 0.1232
Tl27 0.0571 0.4339 0.8265
Tl28 0.3768 0.9429 0.7694
Tl29 0.8927 0.0661 0.6232
Tl30 0.7306 0.1232 0.0571
Tl31 0.2306 0.6735 0.1073
Tl32 0.1073 0.1735 0.2306
Tl33 0.3265 0.5571 0.4339
Tl34 0.6735 0.4429 0.5661
Tl35 0.9429 0.3768 0.2694
Tl36 0.9429 0.5661 0.1735
Tl37 0.1232 0.3927 0.0661
Tl38 0.1073 0.9339 0.3768
Tl39 0.5661 0.6232 0.3927
Tl40 0.6232 0.5661 0.8927
Tl41 0.2306 0.5571 0.6232
Tl42 0.6073 0.8768 0.4339
Tl43 0.6073 0.7306 0.6735
Tl44 0.6735 0.2306 0.6073
Tl45 0.5661 0.9429 0.6735
Tl46 0.3927 0.1232 0.5661
Tl47 0.3768 0.4339 0.1073
Tl48 0.8265 0.9339 0.0571
Zn1 0.7500 0.8750 0.6250
Zn2 0.1250 0.2500 0.8750
Zn3 0.7500 0.3750 0.1250
Zn4 0.2500 0.1250 0.3750
Zn5 0.3750 0.7500 0.6250
Zn6 0.1250 0.8750 0.7500
Zn7 0.3750 0.6250 0.2500
Zn8 0.6250 0.2500 0.3750
Zn9 0.6250 0.3750 0.7500
Zn10 0.8750 0.1250 0.2500
Zn11 0.2500 0.6250 0.8750
Zn12 0.8750 0.7500 0.1250


A plane-wave DFT calculation with PBE-GGA was carried out for a geometry-optimized ScFeMo2C structure.

Computed properties:
calculated total energy = -9.119 eV/atom
total magnetic moment = 2.5 μB per cell
density of states at the Fermi level = 4.347 states/eV per cell
E_form = 16.8 meV/atom

Unit cell a=4.2795 b=3.8306 c=4.2795 alpha=90.00 beta=90.00 gamma=90.00
Sites, in units of the cell vectors:
Mo1 0.0000 0.0000 0.5000
Mo2 0.5000 0.0000 0.0000
Fe1 0.0000 0.5000 0.0000
Sc1 0.5000 0.5000 0.5000
C1 0.0000 0.0000 0.0000


A plane-wave DFT calculation with PBE-GGA was carried out for a geometry-optimized Cs2Tm2PbO6 structure.

Computed properties:
calculated total energy = -6.255 eV/atom
total magnetic moment = 0.0 μB per cell
ΔE_f (raw) = -2.245 eV per atom
density of states at the Fermi level = 0.000 states/eV per cell

Unit cell a=5.9646 b=5.9646 c=7.3012 alpha=97.69 beta=97.69 gamma=120.03
Sites, in units of the cell vectors:
Cs1 0.1665 0.8335 0.0000
Cs2 0.8335 0.1665 0.0000
O1 0.0485 0.3848 0.6582
O2 0.7251 0.7251 0.6571
O3 0.3848 0.0485 0.6582
O4 0.2749 0.2749 0.3429
O5 0.9515 0.6152 0.3418
O6 0.6152 0.9515 0.3418
Tm1 0.3342 0.6658 0.5000
Tm2 0.6658 0.3342 0.5000
Pb1 0.0000 0.0000 0.5000


A plane-wave DFT calculation with PBE-GGA was carried out for a geometry-optimized K2Sm2OsO6 structure.

Computed properties:
calculated total energy = -6.880 eV/atom
total magnetic moment = 2.0 μB per cell
ΔE_f (raw) = -2.097 eV per atom
density of states at the Fermi level = 4.493 states/eV per cell

Unit cell a=5.8992 b=5.8992 c=6.6038 alpha=97.45 beta=97.45 gamma=119.69
Sites, in units of the cell vectors:
O1 0.7524 0.7524 0.6806
O2 0.6528 0.9574 0.3295
O3 0.0426 0.3472 0.6705
O4 0.2476 0.2476 0.3194
O5 0.9574 0.6528 0.3295
O6 0.3472 0.0426 0.6705
Os1 0.0000 0.0000 0.5000
Sm1 0.3373 0.6627 0.5000
Sm2 0.6627 0.3373 0.5000
K1 0.1556 0.8444 0.0000
K2 0.8444 0.1556 0.0000


A plane-wave DFT calculation with PBE-GGA was carried out for a geometry-optimized Tb6Er2Sc structure.

Computed properties:
calculated total energy = -4.705 eV/atom
total magnetic moment = 0.0 μB per cell
density of states at the Fermi level = 25.657 states/eV per cell
E_form = 99.2 meV/atom

Unit cell a=6.0889 b=9.8126 c=9.8126 alpha=71.69 beta=85.29 gamma=85.29
Sites, in units of the cell vectors:
Tb1 0.9886 0.4043 0.6908
Tb2 0.3509 0.9338 0.6485
Tb3 0.4886 0.6908 0.4043
Tb4 0.3246 0.7489 0.0241
Tb5 0.1491 0.3515 0.0662
Tb6 0.6754 0.2511 0.9759
Tb7 0.6491 0.0662 0.3515
Tb8 0.5114 0.3092 0.5957
Tb9 0.8246 0.0241 0.7489
Tb10 0.8509 0.6485 0.9338
Tb11 0.0114 0.5957 0.3092
Tb12 0.1754 0.9759 0.2511
Er1 0.9257 0.7674 0.5711
Er2 0.0743 0.2326 0.4289
Er3 0.5743 0.4289 0.2326
Er4 0.4257 0.5711 0.7674
Sc1 0.7500 0.8985 0.1015
Sc2 0.2500 0.1015 0.8985


A plane-wave DFT calculation with PBE-GGA was carried out for a geometry-optimized Na4Pa3Te8Pt structure.

Computed properties:
calculated total energy = -4.801 eV/atom
total magnetic moment = 4.6 μB per cell
ΔE_f (raw) = -0.743 eV per atom
density of states at the Fermi level = 20.322 states/eV per cell

Unit cell a=8.3182 b=9.3336 c=8.7691 alpha=119.05 beta=118.31 gamma=90.00
Sites, in units of the cell vectors:
Pa1 0.5000 0.5000 0.5000
Pa2 0.5000 0.5000 0.0000
Pa3 0.0000 0.5000 0.5000
Na1 0.0000 0.0000 0.5000
Na2 0.0000 0.0000 0.0000
Na3 0.5000 0.0000 0.5000
Na4 0.5000 0.0000 0.0000
Te1 0.7705 0.7135 0.9877
Te2 0.2295 0.2865 0.0123
Te3 0.7420 0.7399 0.4841
Te4 0.2173 0.7135 0.9877
Te5 0.2580 0.2601 0.5159
Te6 0.7348 0.2447 0.4695
Te7 0.2652 0.7553 0.5305
Te8 0.7827 0.2865 0.0123
Pt1 0.0000 0.5000 0.0000